ThSn2Hg | GGA-PBE | optimized geometry

Unit cell a=3.9541 b=3.9541 c=6.9141 alpha=90.00 beta=90.00 gamma=90.00
Closest atoms and distances in Å follow each position.
Fractional coordinates of all 4 atoms:
Th 0.5000 0.5000 0.5000  8 Sn 3.39, 2 Hg 3.46
Sn 0.0000 0.0000 0.7783  1 Sn 3.07, 4 Hg 3.19, 4 Th 3.39
Sn 0.0000 0.0000 0.2217  1 Sn 3.07, 4 Hg 3.19, 4 Th 3.39
Hg 0.5000 0.5000 0.0000  8 Sn 3.19, 2 Th 3.46

Summary:
* ΔE to the lowest computed polymorph: 0.197 eV per atom
* Fermi-level density of states: 0.785 states/eV/atom
* E: -4.1388 eV/atom
* formation enthalpy at 0 K: -0.83 eV/f.u.

ScZn2Hg | GGA-PBE | optimized geometry

Unit cell a=4.7391 b=4.7391 c=5.2452 alpha=75.05 beta=75.05 gamma=43.18
Closest atoms and distances in Å follow each position.
Fractional coordinates of all 4 atoms:
Zn 0.7427 0.7427 0.7798  3 Zn 2.66-2.78, 3 Hg 2.85-2.89
Zn 0.0097 0.0097 0.9636  3 Zn 2.66-2.78, 3 Sc 2.90, 2 Hg 2.95
Hg 0.4935 0.4935 0.5185  5 Zn 2.85-2.95, 3 Sc 2.89-2.93
Sc 0.2541 0.2541 0.2381  3 Hg 2.89-2.93, 5 Zn 2.90-2.99

Summary:
* Fermi-level density of states: 0.588 states/eV/atom
* E: -2.4357 eV/atom
* formation enthalpy at 0 K: -0.56 eV/f.u.

CsLa2Pb | GGA-PBE | optimized geometry

Unit cell a=9.4814 b=9.4814 c=7.6835 alpha=51.90 beta=51.90 gamma=90.00
Closest atoms and distances in Å follow each position.
Fractional coordinates of all 8 atoms:
Cs 0.5000 0.5000 0.0000  8 La 3.74-4.19, 2 Pb 3.75
Cs 0.2500 0.7500 0.5000  8 La 3.74-4.19, 2 Pb 3.75
La 0.6640 0.1250 0.2500  2 Pb 3.24
La 0.3750 0.3360 0.7500  2 Pb 3.24
La 0.8750 0.9140 0.7500  2 Pb 3.24
La 0.0860 0.6250 0.2500  2 Pb 3.24
Pb 0.0000 0.0000 0.0000  4 La 3.24
Pb 0.7500 0.2500 0.5000  4 La 3.24

Summary:
* ΔE to the lowest computed polymorph: 0.133 eV per atom
* Fermi-level density of states: 1.510 states/eV/atom
* E: -3.4094 eV/atom
* formation enthalpy at 0 K: 0.78 eV/f.u.

KTlHgSe3 | GGA-PBE | optimized geometry

Unit cell a=4.1426 b=7.8582 c=11.9885 alpha=105.36 beta=90.00 gamma=90.00
Closest atoms and distances in Å follow each position.
Fractional coordinates of all 12 atoms:
Se 0.2500 0.5476 0.8636  3 Tl 2.72-2.93
Se 0.2500 0.0554 0.8299  1 Hg 2.67, 2 Tl 2.84
Se 0.7500 0.2514 0.5321  2 Hg 2.67
Se 0.2500 0.7486 0.4679  2 Hg 2.67
Se 0.7500 0.4524 0.1364  3 Tl 2.72-2.93
Se 0.7500 0.9446 0.1701  1 Hg 2.67, 2 Tl 2.84
Tl 0.7500 0.3068 0.9034  5 Se 2.72-2.93
Tl 0.2500 0.6932 0.0966  5 Se 2.72-2.93
Hg 0.2500 0.1183 0.6220  3 Se 2.67
Hg 0.7500 0.8817 0.3780  3 Se 2.67
K 0.7500 0.6925 0.6801  7 Se 3.40-3.60
K 0.2500 0.3075 0.3199  7 Se 3.40-3.60

Summary:
* Fermi-level density of states: 0.063 states/eV/atom
* E: -2.8157 eV/atom
* formation energy (no corrections): -0.446 eV per atom

CaZr2SbAu | GGA-PBE | optimized geometry

Unit cell a=5.2211 b=5.2211 c=5.6268 alpha=90.00 beta=90.00 gamma=90.00
Closest atoms and distances in Å follow each position.
Fractional coordinates of all 5 atoms:
Zr 0.5000 0.0000 0.0000  2 Au 2.61
Zr 0.0000 0.5000 0.0000  2 Au 2.61
Ca 0.5000 0.5000 0.5000  4 Sb 3.69, 8 Zr 3.84
Sb 0.0000 0.0000 0.5000  2 Au 2.81
Au 0.0000 0.0000 0.0000  4 Zr 2.61, 2 Sb 2.81

Summary:
* Fermi-level density of states: 1.336 states/eV/atom
* E: -4.8750 eV/atom
* formation energy (no corrections): 0.425 eV per atom

CaHfScMo2 | GGA-PBE | optimized geometry

Unit cell a=4.8450 b=5.4344 c=4.8450 alpha=90.00 beta=90.00 gamma=90.00
Closest atoms and distances in Å follow each position.
Fractional coordinates of all 5 atoms:
Mo 0.5000 0.0000 0.0000  2 Hf 2.42
Mo 0.0000 0.0000 0.5000  2 Hf 2.42
Hf 0.0000 0.0000 0.0000  4 Mo 2.42
Ca 0.0000 0.5000 0.0000  2 Hf 2.72
Sc 0.5000 0.5000 0.5000  4 Ca 3.43, 8 Mo 3.64

Summary:
* Fermi-level density of states: 1.139 states/eV/atom
* E: -6.5852 eV/atom
* formation enthalpy at 0 K: 7.02 eV/f.u.

Q: What is the E in the first record?
A: -4.1388 eV/atom